Here is crystalline NaHSO4 at its relaxed geometry from Alexandria. Energies are from GGA-PBEsol.

- size of the total moment (μB/cell) = 0.0

Unit cell a=5.0726 b=7.6082 c=8.7301 alpha=90.00 beta=100.68 gamma=90.00
Fractional positions:
O  0.3417  0.4355  0.6288
O  0.4601  0.2463  0.1652
O  0.0216  0.3300  0.4029
H  0.7820  0.4544  0.3809
O  0.5216  0.1700  0.9029
Na  0.7169  0.9942  0.7041
S  0.6544  0.2227  0.0624
O  0.9784  0.6700  0.5971
Na  0.7831  0.4942  0.7959
S  0.8456  0.7227  0.4376
O  0.1583  0.9355  0.8712
Na  0.2169  0.5058  0.2041
O  0.6583  0.5645  0.3712
S  0.1544  0.2773  0.5624
H  0.2820  0.0456  0.8809
O  0.0399  0.7463  0.3348
H  0.7180  0.9544  0.1191
O  0.8417  0.0645  0.1288
O  0.8310  0.3715  0.0563
O  0.3310  0.1285  0.5563
O  0.6690  0.8715  0.4437
O  0.1690  0.6285  0.9437
S  0.3456  0.7773  0.9376
O  0.9601  0.2537  0.6652
O  0.5399  0.7537  0.8348
H  0.2180  0.5456  0.6191
O  0.4784  0.8300  0.0971
Na  0.2831  0.0058  0.2959

---

Here is crystalline NaH2SO4 at its relaxed geometry from Alexandria. Energies are from GGA-PBEsol.

- size of the total moment (μB/cell) = 0.0

Unit cell a=6.4856 b=10.4369 c=10.7655 alpha=90.00 beta=90.00 gamma=90.00
Fractional positions:
H  0.3081  0.1064  0.5745
H  0.2911  0.7335  0.3738
H  0.7089  0.2665  0.6262
O  0.2531  0.6886  0.4518
H  0.6919  0.8936  0.0745
O  0.7531  0.8114  0.4518
O  0.4284  0.2174  0.2500
Na  0.9343  0.1563  0.4416
S  0.9856  0.5875  0.7500
S  0.4856  0.9125  0.7500
O  0.2469  0.1887  0.5482
O  0.1239  0.4451  0.1352
O  0.2531  0.6886  0.0482
S  0.0144  0.4125  0.2500
O  0.6368  0.5158  0.3645
H  0.7089  0.2665  0.8738
O  0.7531  0.8114  0.0482
O  0.8502  0.6694  0.2500
Na  0.9343  0.1563  0.0584
Na  0.5657  0.6563  0.5584
O  0.8632  0.0158  0.8645
H  0.6919  0.8936  0.4255
O  0.3761  0.9451  0.8648
H  0.7911  0.7665  0.3738
S  0.5144  0.0875  0.2500
H  0.3081  0.1064  0.9255
O  0.8632  0.0158  0.6355
S  0.7509  0.0427  0.7500
O  0.0716  0.7174  0.7500
O  0.7469  0.3114  0.5482
O  0.6498  0.1694  0.7500
H  0.2089  0.2335  0.6262
H  0.8081  0.3936  0.9255
O  0.3632  0.4842  0.6355
O  0.1239  0.4451  0.3648
O  0.3761  0.9451  0.6352
Na  0.0657  0.8437  0.9416
O  0.7469  0.3114  0.9518
O  0.1498  0.3306  0.7500
S  0.2491  0.9573  0.2500
O  0.2469  0.1887  0.9518
H  0.2911  0.7335  0.1262
O  0.1368  0.9842  0.3645
Na  0.4343  0.3437  0.0584
S  0.2509  0.4573  0.7500
O  0.9284  0.2826  0.2500
O  0.8761  0.5549  0.8648
H  0.1919  0.6064  0.0745
Na  0.4343  0.3437  0.4416
O  0.6239  0.0549  0.3648
O  0.1368  0.9842  0.1355
H  0.1919  0.6064  0.4255
S  0.7491  0.5427  0.2500
O  0.3632  0.4842  0.8645
O  0.6239  0.0549  0.1352
H  0.2089  0.2335  0.8738
O  0.6368  0.5158  0.1355
O  0.8761  0.5549  0.6352
Na  0.0657  0.8437  0.5584
O  0.3502  0.8306  0.2500
Na  0.5657  0.6563  0.9416
H  0.8081  0.3936  0.5745
H  0.7911  0.7665  0.1262
O  0.5716  0.7826  0.7500

---

Here is crystalline Na3SbH18S4O9 at its relaxed geometry from Alexandria. Energies are from GGA-PBEsol.

- size of the total moment (μB/cell) = 0.0

Unit cell a=11.8013 b=11.8013 c=11.8013 alpha=90.00 beta=90.00 gamma=90.00
Fractional positions:
H  0.4871  0.7372  0.1661
O  0.4164  0.7609  0.8167
Na  0.4013  0.0987  0.9013
H  0.3014  0.9042  0.0189
O  0.5836  0.2609  0.6833
H  0.1192  0.1458  0.4204
S  0.1425  0.1366  0.9094
H  0.4707  0.7028  0.8439
Sb  0.0245  0.0245  0.0245
O  0.0818  0.4756  0.1287
H  0.7565  0.4612  0.8001
O  0.4182  0.5244  0.6287
S  0.6425  0.3634  0.0906
H  0.4042  0.4811  0.6986
H  0.1736  0.7651  0.0332
H  0.9668  0.6736  0.7349
H  0.3808  0.8542  0.9204
H  0.9204  0.3808  0.8542
O  0.1938  0.7025  0.9806
H  0.8014  0.5958  0.9811
O  0.0244  0.8713  0.5818
O  0.9182  0.9756  0.3713
O  0.8062  0.2025  0.5194
H  0.7628  0.8339  0.9871
O  0.4806  0.3062  0.2975
Na  0.5574  0.9426  0.0574
H  0.1986  0.0958  0.5189
H  0.8439  0.4707  0.7028
H  0.2028  0.6561  0.5293
S  0.6366  0.5906  0.8575
H  0.5293  0.2028  0.6561
H  0.2435  0.9612  0.6999
O  0.6833  0.5836  0.2609
O  0.7391  0.1833  0.9164
H  0.1999  0.2565  0.0388
S  0.0895  0.4105  0.5895
H  0.8001  0.7565  0.4612
O  0.9756  0.3713  0.9182
Sb  0.4755  0.9755  0.5245
O  0.7975  0.0194  0.6938
H  0.9871  0.7628  0.8339
O  0.0194  0.6938  0.7975
O  0.8713  0.5818  0.0244
S  0.9094  0.1425  0.1366
H  0.6458  0.0796  0.8808
H  0.7028  0.8439  0.4707
Sb  0.5245  0.4755  0.9755
S  0.3634  0.0906  0.6425
Na  0.9013  0.4013  0.0987
S  0.5906  0.8575  0.6366
H  0.5129  0.2372  0.3339
H  0.2972  0.3439  0.0293
O  0.5244  0.6287  0.4182
H  0.8808  0.6458  0.0796
O  0.6287  0.4182  0.5244
O  0.1287  0.0818  0.4756
H  0.5332  0.3264  0.2349
Na  0.7186  0.7814  0.2186
Na  0.2814  0.2814  0.2814
O  0.4756  0.1287  0.0818
S  0.8634  0.4094  0.3575
H  0.8542  0.9204  0.3808
H  0.7372  0.1661  0.4871
O  0.7025  0.9806  0.1938
H  0.4668  0.8264  0.2651
H  0.3264  0.2349  0.5332
H  0.2651  0.4668  0.8264
H  0.5189  0.1986  0.0958
H  0.0189  0.3014  0.9042
H  0.3339  0.5129  0.2372
H  0.9612  0.6999  0.2435
H  0.2628  0.6661  0.0129
O  0.8167  0.4164  0.7609
O  0.2025  0.5194  0.8062
O  0.9806  0.1938  0.7025
O  0.3062  0.2975  0.4806
S  0.9105  0.9105  0.9105
O  0.2391  0.3167  0.0836
H  0.0332  0.1736  0.7651
H  0.3001  0.7435  0.5388
H  0.9707  0.7972  0.1561
S  0.0906  0.6425  0.3634
H  0.8264  0.2651  0.4668
H  0.7349  0.9668  0.6736
H  0.2372  0.3339  0.5129
O  0.3167  0.0836  0.2391
S  0.4094  0.3575  0.8634
H  0.0388  0.1999  0.2565
S  0.5895  0.0895  0.4105
H  0.7651  0.0332  0.1736
O  0.1833  0.9164  0.7391
S  0.8575  0.6366  0.5906
H  0.1561  0.9707  0.7972
Na  0.0987  0.9013  0.4013
Na  0.4426  0.4426  0.4426
H  0.5958  0.9811  0.8014
H  0.9811  0.8014  0.5958
H  0.3542  0.5796  0.6192
H  0.0958  0.5189  0.1986
H  0.7972  0.1561  0.9707
H  0.5796  0.6192  0.3542
O  0.9164  0.7391  0.1833
O  0.5194  0.8062  0.2025
Na  0.9426  0.0574  0.5574
H  0.0129  0.2628  0.6661
H  0.0293  0.2972  0.3439
O  0.2609  0.6833  0.5836
H  0.6736  0.7349  0.9668
H  0.6192  0.3542  0.5796
O  0.0836  0.2391  0.3167
Sb  0.9755  0.5245  0.4755
H  0.7435  0.5388  0.3001
O  0.3713  0.9182  0.9756
O  0.7609  0.8167  0.4164
H  0.4204  0.1192  0.1458
O  0.5818  0.0244  0.8713
H  0.5388  0.3001  0.7435
H  0.4811  0.6986  0.4042
H  0.6999  0.2435  0.9612
H  0.2349  0.5332  0.3264
Na  0.5987  0.5987  0.5987
O  0.6938  0.7975  0.0194
H  0.0796  0.8808  0.6458
Na  0.2186  0.7186  0.7814
H  0.1458  0.4204  0.1192
H  0.2565  0.0388  0.1999
S  0.3575  0.8634  0.4094
H  0.1661  0.4871  0.7372
H  0.6661  0.0129  0.2628
S  0.4105  0.5895  0.0895
O  0.2975  0.4806  0.3062
Na  0.0574  0.5574  0.9426
H  0.8339  0.9871  0.7628
Na  0.7814  0.2186  0.7186
H  0.6561  0.5293  0.2028
H  0.4612  0.8001  0.7565
H  0.3439  0.0293  0.2972
H  0.6986  0.4042  0.4811
H  0.9042  0.0189  0.3014
S  0.1366  0.9094  0.1425

---

Here is crystalline Na2TeH6SO10 at its relaxed geometry from Alexandria. Energies are from GGA-PBEsol.

- size of the total moment (μB/cell) = 0.2

Unit cell a=5.4277 b=5.7760 c=15.1646 alpha=87.95 beta=85.63 gamma=61.98
Fractional positions:
H  0.6601  0.0054  0.2962
S  0.5750  0.4873  0.0537
H  0.4368  0.9022  0.9502
S  0.0623  0.5127  0.5537
O  0.1008  0.9521  0.6934
H  0.4590  0.5792  0.2336
O  0.8608  0.4107  0.5520
O  0.8949  0.9670  0.8658
O  0.6548  0.4938  0.1464
O  0.6679  0.6571  0.9993
H  0.3390  0.0978  0.4502
O  0.7258  0.2132  0.0213
Na  0.8254  0.8436  0.1179
O  0.3482  0.6355  0.2937
O  0.3250  0.3429  0.4993
O  0.9837  0.3645  0.7937
O  0.9390  0.7868  0.5213
O  0.5463  0.9900  0.7482
O  0.1486  0.5062  0.6464
Na  0.6240  0.4838  0.4231
Te  0.2189  0.9855  0.8056
H  0.9066  0.9195  0.4211
H  0.6218  0.5295  0.8096
O  0.0529  0.0479  0.1934
O  0.4135  0.6086  0.8238
O  0.8619  0.0330  0.3658
Na  0.1078  0.5162  0.9231
O  0.3741  0.9328  0.4174
H  0.9116  0.2358  0.1789
O  0.0221  0.3914  0.3238
O  0.5363  0.0100  0.2482
Na  0.6690  0.1564  0.6179
H  0.0382  0.4208  0.7336
Te  0.2044  0.0145  0.3056
O  0.2714  0.5893  0.0520
O  0.3070  0.0672  0.9174
H  0.6655  0.9946  0.7962
H  0.1512  0.4705  0.3096
H  0.8261  0.0805  0.9211
H  0.1474  0.7642  0.6789

---

Here is crystalline NaHSeO4 at its relaxed geometry from Alexandria. Energies are from GGA-PBEsol.

- size of the total moment (μB/cell) = 0.0

Unit cell a=5.2513 b=7.9800 c=8.9288 alpha=90.00 beta=102.37 gamma=90.00
Fractional positions:
O  0.5035  0.1574  0.6126
O  0.5615  0.2459  0.3249
O  0.4965  0.8426  0.3874
O  0.8598  0.9379  0.6358
O  0.0035  0.3426  0.1126
H  0.2644  0.9582  0.3736
H  0.7356  0.0418  0.6264
O  0.4385  0.7541  0.6751
H  0.2356  0.4582  0.1264
O  0.9965  0.6574  0.8874
O  0.8218  0.6116  0.5462
O  0.6402  0.4379  0.8642
O  0.1782  0.3884  0.4538
Se  0.6444  0.7762  0.5615
O  0.6782  0.1116  0.9538
Se  0.1444  0.7238  0.0615
H  0.7644  0.5418  0.8736
Na  0.2942  0.0007  0.7939
Na  0.7058  0.9993  0.2061
Se  0.3556  0.2238  0.4385
O  0.3218  0.8884  0.0462
Na  0.2058  0.5007  0.7061
Se  0.8556  0.2762  0.9385
O  0.0615  0.2541  0.8249
O  0.9385  0.7459  0.1751
O  0.1402  0.0621  0.3642
Na  0.7942  0.4993  0.2939
O  0.3598  0.5621  0.1358

---

Here is crystalline NaHSeO4 at its relaxed geometry from Alexandria. Energies are from GGA-PBEsol.

- size of the total moment (μB/cell) = 0.0

Unit cell a=5.0762 b=5.6878 c=6.5631 alpha=89.24 beta=73.40 gamma=83.09
Fractional positions:
O  0.3138  0.3746  0.8458
H  0.9705  0.4987  0.5150
Na  0.0379  0.7430  0.8422
O  0.7961  0.5283  0.6539
Se  0.6367  0.2744  0.7265
O  0.7041  0.6192  0.1494
O  0.2341  0.8750  0.0998
O  0.3234  0.8565  0.4912
H  0.4766  0.9696  0.4862
Na  0.9723  0.2453  0.1505
O  0.7897  0.1184  0.8813
O  0.2039  0.4699  0.3364
Se  0.3730  0.7025  0.2529
O  0.6788  0.1306  0.4970

---

Here is crystalline Na3H5Se4O16 at its relaxed geometry from Alexandria. Energies are from GGA-PBEsol.

- size of the total moment (μB/cell) = 0.0

Unit cell a=5.9013 b=7.3010 c=9.0122 alpha=105.25 beta=92.49 gamma=105.93
Fractional positions:
O  0.2550  0.0784  0.9683
O  0.8910  0.2391  0.6992
O  0.2613  0.5148  0.4364
O  0.1090  0.7609  0.3008
O  0.0300  0.8278  0.6874
Se  0.3323  0.6731  0.3228
H  0.4058  0.1202  0.1229
Na  0.8056  0.6297  0.0820
O  0.1108  0.6728  0.9214
Na  0.0000  0.0000  0.5000
O  0.5749  0.4350  0.8354
O  0.5630  0.8576  0.4350
H  0.8604  0.6220  0.6255
O  0.5248  0.1538  0.2220
H  0.5942  0.8798  0.8771
O  0.8892  0.3272  0.0786
O  0.4370  0.1424  0.5650
O  0.4251  0.5650  0.1646
H  0.1396  0.3780  0.3745
Na  0.1944  0.3703  0.9180
O  0.7387  0.4852  0.5636
O  0.7450  0.9216  0.0317
Se  0.6677  0.3269  0.6772
O  0.9700  0.1722  0.3126
Se  0.7935  0.1454  0.1559
Se  0.2065  0.8546  0.8441
O  0.4752  0.8462  0.7780
H  0.5000  0.0000  0.5000

---

Here is crystalline NaHSeO3 at its relaxed geometry from Alexandria. Energies are from GGA-PBEsol.

- size of the total moment (μB/cell) = 0.0

Unit cell a=5.8174 b=10.2385 c=11.0865 alpha=103.99 beta=105.21 gamma=90.00
Fractional positions:
Se  0.7985  0.6225  0.0692
O  0.8184  0.4465  0.0743
Se  0.3863  0.5349  0.3110
O  0.2559  0.9465  0.0743
O  0.3929  0.5625  0.6308
O  0.4561  0.3447  0.8830
Na  0.0945  0.2836  0.6090
Se  0.6137  0.4651  0.6890
O  0.5439  0.6553  0.1170
O  0.2265  0.0079  0.3937
H  0.7679  0.9770  0.5075
O  0.5011  0.6917  0.3953
O  0.8180  0.8085  0.7989
O  0.0192  0.6915  0.2011
H  0.2321  0.0230  0.4925
Na  0.5145  0.7836  0.6090
Se  0.2015  0.3775  0.9308
Se  0.7293  0.8775  0.9308
O  0.2379  0.0625  0.6308
Se  0.9247  0.0349  0.3110
O  0.6071  0.4375  0.3692
H  0.2604  0.5230  0.4925
Na  0.3796  0.8318  0.2483
O  0.4269  0.8447  0.8830
O  0.9808  0.3085  0.7989
H  0.6771  0.1023  0.0026
Na  0.1313  0.6682  0.7517
O  0.1673  0.5079  0.3937
O  0.7735  0.9921  0.6063
Se  0.0753  0.9651  0.6890
O  0.1058  0.8083  0.6047
Na  0.6204  0.1682  0.7517
O  0.4989  0.3083  0.6047
O  0.5731  0.1553  0.1170
O  0.7621  0.9375  0.3692
O  0.7441  0.0535  0.9257
H  0.7396  0.4770  0.5075
H  0.6745  0.3977  0.9974
O  0.8942  0.1917  0.3953
Na  0.4855  0.2164  0.3910
Se  0.2707  0.1225  0.0692
H  0.3229  0.8977  0.9974
O  0.8327  0.4921  0.6063
Na  0.8687  0.3318  0.2483
O  0.1820  0.1915  0.2011
Na  0.9055  0.7164  0.3910
O  0.1816  0.5535  0.9257
H  0.3255  0.6023  0.0026

---

Across the entries above, calculated total energy takes the values -163.70; -357.05; -670.75; -218.73; -148.08; -74.05; -147.73; -252.05 eV per cell, respectively.